Record 1
DFT (PBE-GGA) results for a relaxed RbMn2Tl crystal.

## Properties
E_form ... 0.841 eV per atom
Crystal system ... tetragonal
Energy above the lowest structure with this stoichiometry ... 0 meV/atom

abc: 10.3033 10.3033 10.3033
angles: 149.27 149.27 44.02
Element x y z (fractional)
Rb: 0.3750 0.6250 0.7500
Rb: 0.6250 0.3750 0.2500
Mn: 0.0000 0.0000 0.0000
Mn: 0.0000 0.0000 0.5000
Mn: 0.0000 0.5000 0.0000
Mn: 0.5000 0.0000 0.5000
Tl: 0.1250 0.8750 0.2500
Tl: 0.8750 0.1250 0.7500


Record 2
DFT (PBE-GGA) results for a relaxed MoSeCl crystal.

## Properties
Crystal system ... monoclinic
Formation energy from raw total energies ... -0.1832 eV per atom

abc: 3.2950 4.7766 4.2781
angles: 90.00 99.24 90.00
Element x y z (fractional)
Mo: 0.0000 0.0000 0.0000
Se: 0.5987 0.0000 0.4273
Cl: 0.0313 0.5000 0.9258


Record 3
DFT (PBE-GGA) results for a relaxed FeCoB3 crystal.

## Properties
E_form ... 0.919 eV per atom
Crystal system ... cubic

abc: 3.6833 3.6833 3.6833
angles: 90.00 90.00 90.00
Element x y z (fractional)
Fe: 0.0000 0.0000 0.0000
Co: 0.5000 0.5000 0.5000
B: 0.0000 0.0000 0.5000
B: 0.0000 0.5000 0.0000
B: 0.5000 0.0000 0.0000


Record 4
DFT (PBE-GGA) results for a relaxed ZnFeNi2 crystal.

## Properties
E_form ... -0.084 eV per atom
Crystal system ... monoclinic

abc: 4.4696 4.4696 4.3538
angles: 100.52 100.52 33.39
Element x y z (fractional)
Zn: 0.0000 0.0000 0.0000
Fe: 0.2417 0.2417 0.7087
Ni: 0.4948 0.4948 0.4984
Ni: 0.7510 0.7510 0.2213


Record 5
DFT (PBE-GGA) results for a relaxed AcLa2Nd3Sm6 crystal.

## Properties
E_form ... 0.019 eV per atom
Crystal system ... monoclinic

abc: 6.4180 6.4180 12.1649
angles: 95.06 95.06 120.04
Element x y z (fractional)
Ac: 0.0000 0.0000 0.0000
La: 0.3333 0.6667 0.0000
La: 0.6667 0.3333 0.0000
Nd: 0.1668 0.8332 0.5000
Nd: 0.5000 0.5000 0.5000
Nd: 0.8332 0.1668 0.5000
Sm: 0.0854 0.4202 0.2535
Sm: 0.2495 0.2495 0.7464
Sm: 0.4202 0.0854 0.2535
Sm: 0.5798 0.9146 0.7465
Sm: 0.7505 0.7505 0.2536
Sm: 0.9146 0.5798 0.7465


Record 6
DFT (PBE-GGA) results for a relaxed Ba2LiNi2 crystal.

## Properties
E_form ... 0.136 eV per atom
Crystal system ... tetragonal

abc: 8.0039 8.0039 4.4464
angles: 90.00 90.00 90.00
Element x y z (fractional)
Ba: 0.1792 0.3208 0.0000
Ba: 0.3208 0.8208 0.0000
Ba: 0.6792 0.1792 0.0000
Ba: 0.8208 0.6792 0.0000
Li: 0.0000 0.0000 0.5000
Li: 0.5000 0.5000 0.5000
Ni: 0.1020 0.6020 0.5000
Ni: 0.3980 0.1020 0.5000
Ni: 0.6020 0.8980 0.5000
Ni: 0.8980 0.3980 0.5000


Record 7
DFT (PBE-GGA) results for a relaxed SrScAu2 crystal.

## Properties
E_form ... -0.517 eV per atom
Crystal system ... tetragonal
Energy above the lowest structure with this stoichiometry ... 217 meV/atom

abc: 4.0523 4.0523 6.3741
angles: 90.00 90.00 90.00
Element x y z (fractional)
Sr: 0.0000 0.0000 0.0000
Sc: 0.5000 0.5000 0.5923
Au: 0.0000 0.0000 0.5111
Au: 0.5000 0.5000 0.1609


Record 8
DFT (PBE-GGA) results for a relaxed Tc2SbAs crystal.

## Properties
Crystal system ... tetragonal
Formation energy from raw total energies ... 0.4186 eV per atom
Energy above the lowest structure with this stoichiometry ... 412 meV/atom

abc: 4.9225 4.9225 4.9225
angles: 130.36 130.36 72.83
Element x y z (fractional)
Tc: 0.0000 0.0000 0.0000
Tc: 0.7500 0.2500 0.5000
Sb: 0.5000 0.5000 0.0000
As: 0.2500 0.7500 0.5000


Record 9
DFT (PBE-GGA) results for a relaxed TaIrRh6 crystal.

## Properties
E_form ... 0.517 eV per atom
Crystal system ... trigonal
Energy above the lowest structure with this stoichiometry ... 761 meV/atom

abc: 5.1672 5.1672 5.1672
angles: 87.20 87.20 87.20
Element x y z (fractional)
Ta: 0.0000 0.0000 0.0000
Ir: 0.5000 0.5000 0.5000
Rh: 0.0457 0.6653 0.6653
Rh: 0.3347 0.3347 0.9543
Rh: 0.3347 0.9543 0.3347
Rh: 0.6653 0.0457 0.6653
Rh: 0.6653 0.6653 0.0457
Rh: 0.9543 0.3347 0.3347


Record 10
DFT (PBE-GGA) results for a relaxed NaGe crystal.

## Properties
E_form ... 0.142 eV per atom
Crystal system ... tetragonal

abc: 6.0480 6.0480 6.3195
angles: 90.00 90.00 90.00
Element x y z (fractional)
Na: 0.1730 0.1730 0.0000
Na: 0.3270 0.6730 0.5000
Na: 0.6730 0.3270 0.5000
Na: 0.8270 0.8270 0.0000
Ge: 0.1345 0.1345 0.5000
Ge: 0.3655 0.6345 0.0000
Ge: 0.6345 0.3655 0.0000
Ge: 0.8655 0.8655 0.5000


Record 11
DFT (PBE-GGA) results for a relaxed NbVPdAu crystal.

## Properties
E_form ... 0.030 eV per atom
Crystal system ... trigonal
Energy above the lowest structure with this stoichiometry ... 64 meV/atom

abc: 4.9336 4.9336 4.9336
angles: 51.97 51.97 51.97
Element x y z (fractional)
Nb: 0.0000 0.0000 0.0000
V: 0.4419 0.4419 0.4419
Pd: 0.7845 0.7845 0.7845
Au: 0.2271 0.2271 0.2271


Record 12
DFT (PBE-GGA) results for a relaxed Y2Ho6MgSc3 crystal.

## Properties
E_form ... 0.045 eV per atom
Crystal system ... monoclinic

abc: 5.9792 5.9792 11.3632
angles: 95.05 95.05 120.00
Element x y z (fractional)
Y: 0.1666 0.8334 0.0000
Y: 0.8334 0.1666 0.0000
Ho: 0.0809 0.4141 0.7411
Ho: 0.2526 0.2526 0.2593
Ho: 0.4141 0.0809 0.7411
Ho: 0.5859 0.9191 0.2589
Ho: 0.7474 0.7474 0.7407
Ho: 0.9191 0.5859 0.2589
Mg: 0.5000 0.5000 0.0000
Sc: 0.0000 0.0000 0.5000
Sc: 0.3341 0.6659 0.5000
Sc: 0.6659 0.3341 0.5000


Record 13
DFT (PBE-GGA) results for a relaxed MgRu5 crystal.

## Properties
E_form ... 0.148 eV per atom
Crystal system ... hexagonal

abc: 4.7393 4.7393 4.3982
angles: 90.00 90.00 120.00
Element x y z (fractional)
Mg: 0.0000 0.0000 0.0000
Ru: 0.0000 0.6665 0.5000
Ru: 0.3335 0.3335 0.5000
Ru: 0.3333 0.6667 0.0000
Ru: 0.6665 0.0000 0.5000
Ru: 0.6667 0.3333 0.0000


Record 14
DFT (PBE-GGA) results for a relaxed BSb3O crystal.

## Properties
Crystal system ... cubic
Formation energy from raw total energies ... 0.8268 eV per atom
Energy above the lowest structure with this stoichiometry ... 0 meV/atom

abc: 4.7373 4.7373 4.7373
angles: 90.00 90.00 90.00
Element x y z (fractional)
B: 0.0000 0.0000 0.0000
Sb: 0.0000 0.5000 0.5000
Sb: 0.5000 0.0000 0.5000
Sb: 0.5000 0.5000 0.0000
O: 0.5000 0.5000 0.5000


Record 15
DFT (PBE-GGA) results for a relaxed Pm5Ho4Sc4 crystal.

## Properties
E_form ... 0.048 eV per atom
Crystal system ... tetragonal

abc: 9.2428 9.2428 9.2428
angles: 94.08 94.08 149.04
Element x y z (fractional)
Pm: 0.0000 0.0000 0.0000
Pm: 0.3057 0.5425 0.8483
Pm: 0.4575 0.3057 0.7632
Pm: 0.5425 0.6943 0.2368
Pm: 0.6943 0.4575 0.1517
Ho: 0.0776 0.3832 0.4608
Ho: 0.3832 0.9224 0.3056
Ho: 0.6168 0.0776 0.6944
Ho: 0.9224 0.6168 0.5392
Sc: 0.1561 0.7663 0.9224
Sc: 0.2337 0.1561 0.3897
Sc: 0.7663 0.8439 0.6103
Sc: 0.8439 0.2337 0.0776


Record 16
DFT (PBE-GGA) results for a relaxed ZrInMo2 crystal.

## Properties
E_form ... 0.366 eV per atom
Crystal system ... tetragonal

abc: 2.8469 2.8469 9.2796
angles: 90.00 90.00 90.00
Element x y z (fractional)
Zr: 0.0000 0.0000 0.0000
In: 0.0000 0.0000 0.5000
Mo: 0.5000 0.5000 0.2567
Mo: 0.5000 0.5000 0.7433


Record 17
DFT (PBE-GGA) results for a relaxed MgTl2Ga crystal.

## Properties
E_form ... 0.038 eV per atom
Crystal system ... tetragonal
Energy above the lowest structure with this stoichiometry ... 0 meV/atom

abc: 3.6845 3.6845 7.4281
angles: 90.00 90.00 90.00
Element x y z (fractional)
Mg: 0.0000 0.0000 0.0000
Tl: 0.5000 0.5000 0.2514
Tl: 0.5000 0.5000 0.7486
Ga: 0.0000 0.0000 0.5000


Record 18
DFT (PBE-GGA) results for a relaxed Ho2Pd5Au5 crystal.

## Properties
E_form ... -0.600 eV per atom
Crystal system ... monoclinic
Energy above the lowest structure with this stoichiometry ... 0 meV/atom

abc: 6.6051 6.6051 9.3433
angles: 114.82 114.82 35.96
Element x y z (fractional)
Ho: 0.0832 0.0832 0.2541
Ho: 0.9168 0.9168 0.7459
Pd: 0.3360 0.3360 0.4980
Pd: 0.4196 0.4196 0.2515
Pd: 0.5000 0.5000 0.0000
Pd: 0.5804 0.5804 0.7485
Pd: 0.6640 0.6640 0.5020
Au: 0.0000 0.0000 0.5000
Au: 0.1672 0.1672 0.9979
Au: 0.2470 0.2470 0.7441
Au: 0.7530 0.7530 0.2559
Au: 0.8328 0.8328 0.0021


Record 19
DFT (PBE-GGA) results for a relaxed Th2HgPb3 crystal.

## Properties
E_form ... -0.121 eV per atom
Crystal system ... orthorhombic
Energy above the lowest structure with this stoichiometry ... 0 meV/atom

abc: 3.4919 4.8321 10.6206
angles: 90.00 90.00 90.00
Element x y z (fractional)
Th: 0.0000 0.0000 0.0000
Th: 0.0000 0.5000 0.4747
Hg: 0.5000 0.0000 0.3277
Pb: 0.5000 0.0000 0.6337
Pb: 0.5000 0.5000 0.1621
Pb: 0.5000 0.5000 0.8390


Record 20
DFT (PBE-GGA) results for a relaxed DyScSi crystal.

## Properties
Crystal system ... hexagonal
Formation energy from raw total energies ... -0.6357 eV per atom
Energy above the lowest structure with this stoichiometry ... 0 meV/atom

abc: 7.5297 7.5297 4.1087
angles: 90.00 90.00 120.00
Element x y z (fractional)
Dy: 0.0000 0.4017 0.0000
Dy: 0.4017 0.0000 0.0000
Dy: 0.5983 0.5983 0.0000
Sc: 0.0000 0.7422 0.5000
Sc: 0.2578 0.2578 0.5000
Sc: 0.7422 0.0000 0.5000
Si: 0.0000 0.0000 0.0000
Si: 0.3333 0.6667 0.5000
Si: 0.6667 0.3333 0.5000


Record 21
DFT (PBE-GGA) results for a relaxed NbCd2TeO6 crystal.

## Properties
Crystal system ... tetragonal
Formation energy from raw total energies ... -1.2965 eV per atom

abc: 5.7549 5.7549 4.6878
angles: 90.00 90.00 90.00
Element x y z (fractional)
Nb: 0.0000 0.0000 0.0000
Cd: 0.0000 0.5000 0.4214
Cd: 0.5000 0.0000 0.4214
Te: 0.5000 0.5000 0.0435
O: 0.0000 0.0000 0.6110
O: 0.2365 0.2365 0.1297
O: 0.2365 0.7635 0.1297
O: 0.5000 0.5000 0.6413
O: 0.7635 0.2365 0.1297
O: 0.7635 0.7635 0.1297


Record 22
DFT (PBE-GGA) results for a relaxed Cs8K3F2 crystal.

## Properties
Crystal system ... trigonal
Formation energy from raw total energies ... -0.7972 eV per atom

abc: 14.1180 14.1180 14.1180
angles: 41.13 41.13 41.13
Element x y z (fractional)
Cs: 0.1696 0.1696 0.1696
Cs: 0.2219 0.2219 0.7624
Cs: 0.2219 0.7624 0.2219
Cs: 0.2376 0.7781 0.7781
Cs: 0.7624 0.2219 0.2219
Cs: 0.7781 0.2376 0.7781
Cs: 0.7781 0.7781 0.2376
Cs: 0.8304 0.8304 0.8304
K: 0.3001 0.3001 0.3001
K: 0.5000 0.5000 0.5000
K: 0.6999 0.6999 0.6999
F: 0.0955 0.0955 0.0955
F: 0.9045 0.9045 0.9045


Record 23
DFT (PBE-GGA) results for a relaxed AlPtBr2 crystal.

## Properties
Crystal system ... monoclinic
Formation energy from raw total energies ... -0.0497 eV per atom
Energy above the lowest structure with this stoichiometry ... 435 meV/atom

abc: 4.8760 4.0380 7.1011
angles: 90.00 109.06 90.00
Element x y z (fractional)
Al: 0.0000 0.0000 0.0000
Pt: 0.5000 0.0000 0.0000
Br: 0.2934 0.5000 0.7435
Br: 0.7066 0.5000 0.2565


Record 24
DFT (PBE-GGA) results for a relaxed NaPbSeF crystal.

## Properties
Crystal system ... trigonal
Formation energy from raw total energies ... -1.4667 eV per atom

abc: 15.4734 15.4734 15.4734
angles: 14.81 14.81 14.81
Element x y z (fractional)
Na: 0.1420 0.1420 0.1420
Na: 0.8580 0.8580 0.8580
Pb: 0.2961 0.2961 0.2961
Pb: 0.7039 0.7039 0.7039
Se: 0.4053 0.4053 0.4053
Se: 0.5947 0.5947 0.5947
F: 0.1921 0.1921 0.1921
F: 0.8079 0.8079 0.8079


Record 25
DFT (PBE-GGA) results for a relaxed LaSnPt2F crystal.

## Properties
Crystal system ... tetragonal
Formation energy from raw total energies ... 0.5459 eV per atom

abc: 5.1871 5.1871 6.9969
angles: 90.00 90.00 90.00
Element x y z (fractional)
La: 0.0000 0.0000 0.0000
Sn: 0.0000 0.0000 0.5000
Pt: 0.0000 0.5000 0.0000
Pt: 0.5000 0.0000 0.0000
F: 0.5000 0.5000 0.5000